# 1
Crystalline LiThZnNi at its relaxed geometry, computed with PBE-GGA.

Geometry as POSCAR:
```
LiThZnNi
1.0
-1.0573 1.1373 4.3727
3.1079 -0.6527 3.3833
2.0452 3.6496 2.0074
Ni Zn Th Li
1 1 1 1
Direct
0.2500 0.2500 0.2500 Ni
0.0000 0.0000 0.0000 Zn
0.5000 0.5000 0.5000 Th
0.7500 0.7500 0.7500 Li
```

Symmetry   F-43m (216)
Formation energy from the elements   -171 meV/atom
Magnetic moment   0.0 μB per cell



# 2
Crystalline LiTi2Ni9 at its relaxed geometry, computed with PBE-GGA.

Geometry as POSCAR:
```
LiTi2Ni9
1.0
3.5935 0.0000 0.0000
0.0000 3.5935 0.0000
0.0000 0.0000 10.6728
Li Ti Ni
1 2 9
Direct
0.0000 0.0000 0.0000 Li
0.0000 0.0000 0.3267 Ti
0.0000 0.0000 0.6733 Ti
0.5000 0.5000 0.0000 Ni
0.5000 0.5000 0.3327 Ni
0.5000 0.5000 0.6673 Ni
0.5000 0.0000 0.1617 Ni
0.5000 0.0000 0.5000 Ni
0.5000 0.0000 0.8383 Ni
0.0000 0.5000 0.1617 Ni
0.0000 0.5000 0.5000 Ni
0.0000 0.5000 0.8383 Ni
```

Symmetry   P4/mmm (123)
Formation energy from the elements   -307 meV/atom
Magnetic moment   2.0 μB per cell



# 3
Crystalline Li2TiNi at its relaxed geometry, computed with PBE-GGA.

Geometry as POSCAR:
```
Li2TiNi
1.0
0.0000 2.9705 2.9705
2.9705 0.0000 2.9705
2.9705 2.9705 0.0000
Ni Li Ti
1 2 1
Direct
0.5000 0.5000 0.5000 Ni
0.2500 0.2500 0.2500 Li
0.7500 0.7500 0.7500 Li
0.0000 0.0000 0.0000 Ti
```

Symmetry   Fm-3m (225)
Formation energy from the elements   332 meV/atom
Offset from the most stable computed form   0.1598 eV per atom
Magnetic moment   0.0 μB per cell



# 4
Crystalline Li2TiNi at its relaxed geometry, computed with PBE-GGA.

Geometry as POSCAR:
```
Li2TiNi
1.0
-0.1986 -3.0883 -1.5891
-1.0642 -1.4610 2.9724
-9.9397 -0.4282 -1.7334
Ni Li Ti
2 4 2
Direct
0.0000 0.0000 0.0000 Ni
0.7500 0.2500 0.5000 Ni
0.6488 0.1250 0.2500 Li
0.1012 0.6250 0.2500 Li
0.3750 0.3512 0.7500 Li
0.8750 0.8988 0.7500 Li
0.5000 0.5000 0.0000 Ti
0.2500 0.7500 0.5000 Ti
```

Symmetry   I-42d (122)
Formation energy from the elements   172 meV/atom
Offset from the most stable computed form   0.0000 eV per atom
Magnetic moment   1.9 μB per cell



# 5
Crystalline LiTiNi at its relaxed geometry, computed with PBE-GGA.

Geometry as POSCAR:
```
LiTiNi
1.0
-1.2708 2.2265 0.9006
-0.9437 -2.4295 0.5755
7.5581 -0.2583 11.3031
Ni Li Ti
2 2 2
Direct
0.5650 0.1300 0.0000 Ni
0.3279 0.6559 0.5000 Ni
0.6637 0.3274 0.3496 Li
0.6637 0.3274 0.6504 Li
0.2231 0.4463 0.8447 Ti
0.2231 0.4463 0.1553 Ti
```

Symmetry   Amm2 (38)
Formation energy from the elements   82 meV/atom
Magnetic moment   0.2 μB per cell



# 6
Crystalline LiTiNi6 at its relaxed geometry, computed with PBE-GGA.

Geometry as POSCAR:
```
LiTiNi6
1.0
-2.5215 -4.8771 2.8450
4.7673 -1.8374 -3.4836
6.2450 1.3434 7.8377
Li Ti Ni
4 4 24
Direct
0.7542 0.2458 0.2500 Li
0.2458 0.7542 0.2500 Li
0.5000 0.5000 0.4974 Li
0.5000 0.5000 0.0026 Li
0.7542 0.2458 0.7500 Ti
0.2458 0.7542 0.7500 Ti
0.0000 0.0000 0.4968 Ti
0.0000 0.0000 0.0032 Ti
0.7506 0.2494 0.4975 Ni
0.6205 0.8729 0.3729 Ni
0.3795 0.1271 0.3729 Ni
0.2494 0.7506 0.4975 Ni
0.1271 0.3795 0.3729 Ni
0.8729 0.6205 0.3729 Ni
0.5000 0.5000 0.7500 Ni
0.3773 0.1286 0.6237 Ni
0.1286 0.3773 0.6237 Ni
0.7506 0.2494 0.0025 Ni
0.6227 0.8714 0.8763 Ni
0.3773 0.1286 0.8763 Ni
0.2494 0.7506 0.0025 Ni
0.1286 0.3773 0.8763 Ni
0.8714 0.6227 0.8763 Ni
0.5000 0.5000 0.2500 Ni
0.3795 0.1271 0.1271 Ni
0.1271 0.3795 0.1271 Ni
0.0000 0.0000 0.7500 Ni
0.8714 0.6227 0.6237 Ni
0.6227 0.8714 0.6237 Ni
0.0000 0.0000 0.2500 Ni
0.8729 0.6205 0.1271 Ni
0.6205 0.8729 0.1271 Ni
```

Symmetry   Cmmm (65)
Formation energy from the elements   -217 meV/atom
Offset from the most stable computed form   0.0000 eV per atom
Magnetic moment   6.9 μB per cell



# 7
Crystalline Li2TiNi2 at its relaxed geometry, computed with PBE-GGA.

Geometry as POSCAR:
```
Li2TiNi2
1.0
6.9633 0.0000 0.0000
0.0000 6.9633 0.0000
0.0000 0.0000 2.5975
Ni Li Ti
4 4 2
Direct
0.3204 0.8204 0.0000 Ni
0.8204 0.6796 0.0000 Ni
0.6796 0.1796 0.0000 Ni
0.1796 0.3204 0.0000 Ni
0.1204 0.6204 0.5000 Li
0.6204 0.8796 0.5000 Li
0.8796 0.3796 0.5000 Li
0.3796 0.1204 0.5000 Li
0.0000 0.0000 0.0000 Ti
0.5000 0.5000 0.0000 Ti
```

Symmetry   P4/mbm (127)
Formation energy from the elements   63 meV/atom
Magnetic moment   0.0 μB per cell



# 8
Crystalline Li3TiNi at its relaxed geometry, computed with PBE-GGA.

Geometry as POSCAR:
```
Li3TiNi
1.0
4.3189 0.0000 0.0000
0.0000 4.3189 0.0000
0.0000 0.0000 4.3189
Ni Li Ti
1 3 1
Direct
0.0000 0.0000 0.0000 Ni
0.0000 0.5000 0.0000 Li
0.0000 0.0000 0.5000 Li
0.5000 0.0000 0.0000 Li
0.5000 0.5000 0.5000 Ti
```

Symmetry   Pm-3m (221)
Formation energy from the elements   669 meV/atom
Offset from the most stable computed form   0.0000 eV per atom
Magnetic moment   0.0 μB per cell



Q: Which of these has the highest magnetic moment?
A: LiTiNi6



Q: Which of these has the highest magnetic moment?
A: LiTiNi6